Entry from OQMD: TaNiHgGe after structural relaxation (PBE-GGA).

Cell: 4.5415 4.5415 4.5415 Å, 60.00 60.00 60.00°
With the nearest neighbours (Å) after each atom.
Atoms (fractional coordinates):
Ta1 0.0000 0.0000 0.0000  4 Hg 2.78, 4 Ge 2.78
Ni1 0.5000 0.5000 0.5000  4 Ge 2.78, 4 Hg 2.78
Hg1 0.7500 0.7500 0.7500  4 Ta 2.78, 4 Ni 2.78
Ge1 0.2500 0.2500 0.2500  4 Ta 2.78, 4 Ni 2.78

Properties
Volume ... 16.56 Å³/atom

---

Entry from OQMD: Rb4MgCdSn2 after structural relaxation (PBE-GGA).

Cell: 7.2834 7.2834 6.6727 Å, 90.11 90.11 104.33°
With the nearest neighbours (Å) after each atom.
Atoms (fractional coordinates):
Rb1 0.0318 0.6888 0.7517  4 Sn 3.91-3.99, 5 Rb 3.95-4.29, 2 Cd 4.13-4.31, 2 Mg 4.13-4.32
Rb2 0.3112 0.9682 0.2483  4 Sn 3.91-3.99, 5 Rb 3.95-4.29, 2 Cd 4.13-4.31, 2 Mg 4.13-4.32
Rb3 0.6888 0.0318 0.7517  4 Sn 3.91-3.99, 5 Rb 3.95-4.29, 2 Cd 4.13-4.31, 2 Mg 4.13-4.32
Rb4 0.9682 0.3112 0.2483  4 Sn 3.91-3.99, 5 Rb 3.95-4.29, 2 Cd 4.13-4.31, 2 Mg 4.13-4.32
Mg1 0.5000 0.5000 0.5000  2 Sn 2.81
Cd1 0.5000 0.5000 0.0000  2 Sn 2.81
Sn1 0.2467 0.2467 0.7490  1 Cd 2.81, 1 Mg 2.81
Sn2 0.7533 0.7533 0.2510  1 Cd 2.81, 1 Mg 2.81

Properties
Volume ... 42.87 Å³/atom

---

Raw total energy across the listed records, respectively: -0.384, -0.145 Ry/atom.
E above lowest polymorph across the listed records, respectively: 0, 0 meV per atom.